Below is a relaxed structure of Mo2AsPbC, with properties calculated at the PBE-GGA level.

Results
formation energy	828	meV/atom
raw total energy	-7.020	eV/atom
space group	No. 123

Cell lengths 4.2808, 4.6884, 4.2808 Å; angles 90.00, 90.00, 90.00 degrees
Fractional positions:
Pb 0.5000 0.5000 0.5000
C 0.0000 0.0000 0.0000
Mo 0.0000 0.0000 0.5000
Mo 0.5000 0.0000 0.0000
As 0.0000 0.5000 0.0000